No. 1
Compound: NpCrTcSb
Source: Alexandria via LeMat-Bulk
Functional: PBE
Structure: relaxed

Results
SG	F-43m (216)
formation energy (no corrections)	0.43	eV/f.u.

Cell lengths 4.6615, 4.6615, 4.6615 Å; angles 60.00, 60.00, 60.00 degrees
Sites, in units of the cell vectors:
Sb1 0.0000 0.0000 0.0000
Cr1 0.2500 0.2500 0.2500
Tc1 0.7500 0.7500 0.7500
Np1 0.5000 0.5000 0.5000

---

No. 2
Compound: BaMg5
Source: Alexandria via LeMat-Bulk
Functional: PBE
Structure: relaxed

Results
SG	Amm2 (38)
E_tot	-9.45	eV for the cell shown

Cell lengths 10.1351, 10.1351, 5.0489 Å; angles 90.00, 90.00, 160.20 degrees
Sites, in units of the cell vectors:
Ba1 0.9951 0.0049 0.0000
Mg1 0.5918 0.4082 0.5000
Mg2 0.3192 0.6808 0.0000
Mg3 0.6796 0.3204 0.0000
Mg4 0.2228 0.7772 0.5000
Mg5 0.8582 0.1418 0.5000

---

No. 3
Compound: ZnReHI
Source: Alexandria via LeMat-Bulk
Functional: PBE
Structure: relaxed

Results
SG	Pm (6)
offset from the most stable computed form	62	meV per atom

Cell lengths 4.3576, 3.0616, 5.2554 Å; angles 90.00, 98.98, 90.00 degrees
Sites, in units of the cell vectors:
H1 0.4697 0.5000 0.4884
Re1 0.3074 0.0000 0.3283
I1 0.1263 0.0000 0.8066
Zn1 0.8015 0.5000 0.2626

---

No. 4
Compound: Cs3Ac3PbO8
Source: Alexandria via LeMat-Bulk
Functional: PBE
Structure: relaxed

Results
SG	R-3m (166)
formation energy (no corrections)	-32.77	eV/f.u.

Cell lengths 7.6120, 7.6121, 8.3084 Å; angles 117.28, 90.00, 120.00 degrees
Sites, in units of the cell vectors:
O1 0.7510 0.9582 0.6652
Cs1 0.0000 0.5000 0.0000
O2 0.7929 0.5858 0.3348
O3 0.7223 0.4446 0.6668
O4 0.2490 0.0418 0.3348
O5 0.2072 0.9582 0.6652
Ac1 0.5000 0.0000 0.5000
Pb1 0.0000 0.0000 0.5000
Cs2 0.5000 0.5000 0.0000
Ac2 0.5000 0.5000 0.5000
O6 0.2777 0.5554 0.3332
O7 0.7928 0.0418 0.3348
Cs3 0.0000 0.0000 0.0000
Ac3 0.0000 0.5000 0.5000
O8 0.2071 0.4142 0.6652

---

No. 5
Compound: Cs2Rb2Pb
Source: Alexandria via LeMat-Bulk
Functional: PBE
Structure: relaxed

Results
SG	C2/m (12)
E_tot	-15.12	eV for the cell shown

Cell lengths 10.5421, 9.4626, 9.4626 Å; angles 113.09, 104.20, 104.20 degrees
Sites, in units of the cell vectors:
Cs1 0.2273 0.6499 0.2125
Cs2 0.7727 0.7875 0.3501
Pb1 0.0000 0.9023 0.0977
Rb1 0.3798 0.2170 0.2170
Rb2 0.8629 0.2536 0.2536
Rb3 0.6202 0.7830 0.7830
Cs3 0.2273 0.2125 0.6499
Cs4 0.7727 0.3501 0.7875
Pb2 0.0000 0.0977 0.9023
Rb4 0.1371 0.7464 0.7464

---

No. 6
Compound: CsGe3Pt6
Source: Alexandria via LeMat-Bulk
Functional: PBE
Structure: relaxed

Results
SG	C2/m (12)
E_tot	-107.25	eV for the cell shown

Cell lengths 6.9709, 6.8929, 8.9219 Å; angles 95.23, 90.00, 90.00 degrees
Sites, in units of the cell vectors:
Pt1 0.5000 0.9695 0.1581
Ge1 0.0000 0.7958 0.5790
Pt2 0.7096 0.3901 0.8591
Cs1 0.0000 0.0000 0.0000
Ge2 0.5000 0.0000 0.5000
Pt3 0.5000 0.0305 0.8419
Ge3 0.0000 0.5000 0.0000
Pt4 0.0000 0.5305 0.3419
Pt5 0.2096 0.1099 0.6409
Pt6 0.7097 0.6099 0.1408
Pt7 0.0000 0.4695 0.6581
Pt8 0.7904 0.8901 0.3591
Pt9 0.7903 0.1099 0.6408
Ge4 0.5000 0.2958 0.0790
Ge5 0.0000 0.2042 0.4210
Ge6 0.5000 0.7042 0.9210
Pt10 0.2903 0.3901 0.8592
Pt11 0.2097 0.8901 0.3592
Cs2 0.5000 0.5000 0.5000
Pt12 0.2904 0.6099 0.1409

---

No. 7
Compound: K2InGaBr4
Source: Alexandria via LeMat-Bulk
Functional: PBE
Structure: relaxed

Results
SG	P2/m (10)
formation energy (no corrections)	-9.26	eV/f.u.

Cell lengths 4.6835, 8.0838, 8.1253 Å; angles 70.49, 90.00, 90.00 degrees
Sites, in units of the cell vectors:
Ga1 0.5000 0.5000 0.0000
Br1 0.0000 0.7421 0.7602
In1 0.0000 0.5000 0.5000
Br2 0.0000 0.2579 0.2398
Br3 0.5000 0.7481 0.2431
K1 0.0000 0.0000 0.0000
Br4 0.5000 0.2519 0.7569
K2 0.5000 0.0000 0.5000

---

No. 8
Compound: La2SmBr4
Source: Alexandria via LeMat-Bulk
Functional: PBE
Structure: relaxed

Results
SG	C2/m (12)
formation energy (no corrections)	-9.02	eV/f.u.

Cell lengths 5.2086, 8.1505, 11.4340 Å; angles 97.82, 76.83, 71.37 degrees
Sites, in units of the cell vectors:
Br1 0.2844 0.1086 0.3226
La1 0.2348 0.3819 0.1484
Sm1 0.8931 0.0517 0.1620
La2 0.7652 0.6181 0.8516
Sm2 0.1069 0.9483 0.8380
Br2 0.7156 0.8914 0.6774
Br3 0.1552 0.6876 0.0019
Br4 0.0662 0.2064 0.6612
La3 0.3401 0.8231 0.4967
Br5 0.3740 0.5706 0.6814
Br6 0.8448 0.3124 0.9981
La4 0.6599 0.1769 0.5033
Br7 0.9338 0.7936 0.3388
Br8 0.6260 0.4294 0.3186

---

No. 9
Compound: Cd2In
Source: Alexandria via LeMat-Bulk
Functional: PBE
Structure: relaxed

Results
SG	I4/mmm (139)
E_tot	-4.47	eV for the cell shown

Cell lengths 7.1977, 7.1977, 7.1977 Å; angles 153.88, 153.88, 37.28 degrees
Sites, in units of the cell vectors:
In1 0.0000 0.0000 0.0000
Cd1 0.6715 0.6715 0.0000
Cd2 0.3285 0.3285 0.0000

---

No. 10
Compound: LuRh3
Source: Alexandria via LeMat-Bulk
Functional: PBE
Structure: relaxed

Results
SG	I4/mmm (139)
E_tot	-28.64	eV for the cell shown

Cell lengths 4.0356, 4.0356, 4.8875 Å; angles 114.38, 114.38, 90.00 degrees
Sites, in units of the cell vectors:
Lu1 0.0000 0.0000 0.0000
Rh1 0.7500 0.2500 0.5000
Rh2 0.2500 0.7500 0.5000
Rh3 0.5000 0.5000 0.0000

---

No. 11
Compound: Tm2Ag2Hg3
Source: Alexandria via LeMat-Bulk
Functional: PBE
Structure: relaxed

Results
SG	P2/m (10)
E_tot	-17.27	eV for the cell shown

Cell lengths 3.3267, 4.9118, 10.1653 Å; angles 104.28, 90.00, 90.00 degrees
Sites, in units of the cell vectors:
Hg1 0.0000 0.2881 0.5751
Hg2 0.0000 0.0000 0.0000
Hg3 0.0000 0.7119 0.4249
Tm1 0.5000 0.1414 0.2832
Ag1 0.0000 0.5735 0.1443
Ag2 0.0000 0.4265 0.8557
Tm2 0.5000 0.8586 0.7168

---

No. 12
Compound: PmGaHg
Source: Alexandria via LeMat-Bulk
Functional: PBE
Structure: relaxed

Results
SG	C2/m (12)
offset from the most stable computed form	0	meV per atom

Cell lengths 4.6508, 6.0081, 6.0152 Å; angles 76.74, 67.26, 67.23 degrees
Sites, in units of the cell vectors:
Ga1 0.1544 0.3682 0.3230
Hg1 0.1732 0.7649 0.8887
Pm1 0.4619 0.7905 0.2857
Hg2 0.8268 0.2351 0.1113
Ga2 0.8456 0.6318 0.6770
Pm2 0.5381 0.2095 0.7143